Entry 1:
Entry from the Alexandria database: crystalline DyCu5Cl12 at its relaxed geometry (PBE-GGA).

Cell lengths 6.479, 6.479, 12.741 Å; angles 89.45, 89.45, 123.97 degrees
Positions (direct):
1 Cl 0.628 0.964 0.109
2 Cl 0.860 0.526 0.603
3 Cl 0.666 0.666 0.875
4 Cl 0.334 0.334 0.125
5 Cl 0.807 0.807 0.397
6 Cl 0.193 0.193 0.603
7 Cl 0.140 0.474 0.397
8 Cl 0.526 0.860 0.603
9 Cl 0.474 0.140 0.397
10 Cl 0.036 0.372 0.891
11 Cl 0.964 0.628 0.109
12 Cl 0.372 0.036 0.891
13 Cu 0.349 0.651 0.000
14 Cu 0.834 0.166 0.500
15 Cu 0.651 0.349 0.000
16 Cu 0.166 0.834 0.500
17 Cu 0.500 0.500 0.500
18 Dy 0.000 0.000 0.000

* DFT total energy: -3.4552 eV per atom
* crystal system: monoclinic
* formation energy from raw total energies: -80 kJ/mol of atoms

Entry 2:
Entry from the Alexandria database: crystalline Dy2CuCl at its relaxed geometry (PBE-GGA).

Cell lengths 3.876, 3.876, 7.748 Å; angles 75.51, 75.51, 60.00 degrees
Positions (direct):
1 Cl 0.498 0.498 0.506
2 Cu 0.668 0.668 0.997
3 Dy 0.262 0.262 0.214
4 Dy 0.072 0.072 0.783

* DFT total energy: -4.4830 eV per atom
* energy relative to the lowest polymorph listed for this composition: 4.4 kJ/mol of atoms
* crystal system: trigonal
* formation energy from raw total energies: -67 kJ/mol of atoms

Entry 3:
Entry from the Alexandria database: crystalline K3DyCu2Cl9 at its relaxed geometry (PBE-GGA).

Cell lengths 7.146, 7.146, 8.888 Å; angles 90.00, 90.00, 120.00 degrees
Positions (direct):
1 K 0.333 0.667 0.699
2 K 0.667 0.333 0.301
3 K 0.000 0.000 0.000
4 Cl 0.342 0.171 0.673
5 Cl 0.500 0.500 0.000
6 Cl 0.000 0.500 0.000
7 Cl 0.829 0.658 0.673
8 Cl 0.171 0.342 0.327
9 Cl 0.500 0.000 0.000
10 Cl 0.829 0.171 0.673
11 Cl 0.658 0.829 0.327
12 Cl 0.171 0.829 0.327
13 Cu 0.667 0.333 0.859
14 Cu 0.333 0.667 0.141
15 Dy 0.000 0.000 0.500

* DFT total energy: -3.7190 eV per atom
* crystal system: trigonal
* formation energy from raw total energies: -148 kJ/mol of atoms

Entry 4:
Entry from the Alexandria database: crystalline KDyCuCl5 at its relaxed geometry (PBE-GGA).

Cell lengths 7.329, 7.329, 9.935 Å; angles 103.47, 103.47, 106.99 degrees
Positions (direct):
1 Cl 0.091 0.687 0.886
2 Cl 0.918 0.082 0.750
3 Cl 0.756 0.621 0.426
4 Cl 0.621 0.756 0.926
5 Cl 0.244 0.379 0.574
6 Cl 0.909 0.313 0.114
7 Cl 0.379 0.244 0.074
8 Cl 0.687 0.091 0.386
9 Cl 0.313 0.909 0.614
10 Cl 0.082 0.918 0.250
11 Cu 0.310 0.690 0.750
12 Cu 0.690 0.310 0.250
13 K 0.649 0.351 0.750
14 K 0.351 0.649 0.250
15 Dy 0.000 0.000 0.500
16 Dy 0.000 0.000 0.000

* DFT total energy: -4.1227 eV per atom
* crystal system: monoclinic
* formation energy from raw total energies: -168 kJ/mol of atoms

Which of these has the highest formation energy from raw total energies? Dy2CuCl

Repeat the first record exactly.
Entry from the Alexandria database: crystalline DyCu5Cl12 at its relaxed geometry (PBE-GGA).

Cell lengths 6.479, 6.479, 12.741 Å; angles 89.45, 89.45, 123.97 degrees
Positions (direct):
1 Cl 0.628 0.964 0.109
2 Cl 0.860 0.526 0.603
3 Cl 0.666 0.666 0.875
4 Cl 0.334 0.334 0.125
5 Cl 0.807 0.807 0.397
6 Cl 0.193 0.193 0.603
7 Cl 0.140 0.474 0.397
8 Cl 0.526 0.860 0.603
9 Cl 0.474 0.140 0.397
10 Cl 0.036 0.372 0.891
11 Cl 0.964 0.628 0.109
12 Cl 0.372 0.036 0.891
13 Cu 0.349 0.651 0.000
14 Cu 0.834 0.166 0.500
15 Cu 0.651 0.349 0.000
16 Cu 0.166 0.834 0.500
17 Cu 0.500 0.500 0.500
18 Dy 0.000 0.000 0.000

* DFT total energy: -3.4552 eV per atom
* crystal system: monoclinic
* formation energy from raw total energies: -80 kJ/mol of atoms

The lowest formation energy from raw total energies belongs to which entry? KDyCuCl5

Which value of formation energy from raw total energies does entry 4 give? -168 kJ/mol of atoms